Below is AcHo2RhO8 after structural relaxation, with properties calculated at the GGA-PBE level. Values from VASP.

Computed properties:
Formation energy from raw total energies   -2.21 eV per atom
Uncorrected energy   -7.230 eV per atom

Structure (Quantum ESPRESSO input):
```
&SYSTEM
  ibrav = 0, nat = 12, ntyp = 4
/
ATOMIC_SPECIES
O 16.00 O.upf
Rh 102.91 Rh.upf
Ho 164.93 Ho.upf
Ac 227.00 Ac.upf
ATOMIC_POSITIONS angstrom
O 1.2912 -6.0414 3.3974
O 2.2213 -3.9497 -2.4528
O 3.8534 -2.1165 -0.5918
O 2.0378 -3.1367 1.9898
O 0.0484 -4.4342 -0.3218
O 2.9233 -4.2082 5.2584
O 3.1067 -5.0212 0.8158
O 5.0962 -3.7237 3.1274
Rh 0.0000 0.0000 0.0000
Ho 2.0251 -3.3709 -0.2318
Ho 3.1195 -4.7870 3.0375
Ac 1.0376 -1.3423 3.1017
CELL_PARAMETERS angstrom
-1.5131 -4.5842 -1.4788
4.5824 -0.8891 -1.9189
2.0753 -2.6846 6.2033
```